Record 1
VASP calculation (SCAN) on a crystal of Na2MgBC relaxed with PBEsol.

Properties
The total moment is 0.00 μB per cell. The total energy is -29.345 eV/f.u. The energy of formation from the pure elements comes out at 0.32 eV per atom. Its crystal system is tetragonal. The space-group type is P4/mmm, No. 123.

```
data_Na2MgBC
_cell_length_a 2.8851
_cell_length_b 5.8119
_cell_length_c 5.8119
_cell_angle_alpha 90.00
_cell_angle_beta 90.00
_cell_angle_gamma 90.00
_space_group_name_H-M_alt 'P 1'
_space_group_IT_number 1
_space_group_name_Hall 'P 1'
loop_
_atom_site_label
_atom_site_fract_x
_atom_site_fract_y
_atom_site_fract_z
Na1 0.0000 0.0000 0.5000
Na2 0.0000 0.5000 0.0000
Mg1 0.5000 0.5000 0.5000
B1 0.0000 0.0000 0.0000
C1 0.5000 0.0000 0.0000
```

***

Record 2
VASP calculation (SCAN) on a crystal of In2GaFePd relaxed with PBEsol.

Properties
The total moment is 3.12 μB per cell. The total energy is -130.284 eV/f.u. The energy of formation from the pure elements comes out at 0.75 eV per atom. Its crystal system is tetragonal. The space-group type is P4/mmm, No. 123.

```
data_In2GaFePd
_cell_length_a 4.4490
_cell_length_b 4.9472
_cell_length_c 4.9472
_cell_angle_alpha 90.00
_cell_angle_beta 90.00
_cell_angle_gamma 90.00
_space_group_name_H-M_alt 'P 1'
_space_group_IT_number 1
_space_group_name_Hall 'P 1'
loop_
_atom_site_label
_atom_site_fract_x
_atom_site_fract_y
_atom_site_fract_z
Fe1 0.5000 0.0000 0.0000
Ga1 0.0000 0.0000 0.0000
Pd1 0.5000 0.5000 0.5000
In1 0.0000 0.0000 0.5000
In2 0.0000 0.5000 0.0000
```

***

Record 3
VASP calculation (SCAN) on a crystal of CuSe2Cl relaxed with PBEsol.

Properties
The total moment is 0.00 μB per cell. The total energy is -64.671 eV/f.u. Its energy above the lowest structure with this stoichiometry is 0 meV per atom. Its crystal system is monoclinic. The space-group type is P2_1/c, No. 14.

```
data_CuSe2Cl
_cell_length_a 4.7735
_cell_length_b 7.6087
_cell_length_c 10.5269
_cell_angle_alpha 105.08
_cell_angle_beta 90.00
_cell_angle_gamma 90.00
_space_group_name_H-M_alt 'P 1'
_space_group_IT_number 1
_space_group_name_Hall 'P 1'
loop_
_atom_site_label
_atom_site_fract_x
_atom_site_fract_y
_atom_site_fract_z
Cu1 0.3517 0.0718 0.2478
Cu2 0.8517 0.4282 0.2522
Cu3 0.6483 0.9282 0.7522
Cu4 0.1483 0.5718 0.7478
Se1 0.4851 0.3546 0.6501
Se2 0.9851 0.1454 0.8499
Se3 0.5149 0.6454 0.3499
Se4 0.0149 0.8546 0.1501
Se5 0.3102 0.0730 0.6534
Se6 0.8102 0.4270 0.8466
Se7 0.6898 0.9270 0.3466
Se8 0.1898 0.5730 0.1534
Cl1 0.6011 0.2042 0.1137
Cl2 0.1011 0.2958 0.3863
Cl3 0.3989 0.7958 0.8863
Cl4 0.8989 0.7042 0.6137
```

***

Record 4
VASP calculation (SCAN) on a crystal of Tl2PtW relaxed with PBEsol.

Properties
The total moment is 0.00 μB per cell. The total energy is -281.266 eV/f.u. The energy of formation from the pure elements comes out at 0.83 eV per atom. Its energy above the lowest structure with this stoichiometry is 272 meV per atom. Its crystal system is monoclinic. The space-group type is P2/m, No. 10.

```
data_Tl2PtW
_cell_length_a 2.9458
_cell_length_b 4.6400
_cell_length_c 5.5188
_cell_angle_alpha 90.00
_cell_angle_beta 91.46
_cell_angle_gamma 90.00
_space_group_name_H-M_alt 'P 1'
_space_group_IT_number 1
_space_group_name_Hall 'P 1'
loop_
_atom_site_label
_atom_site_fract_x
_atom_site_fract_y
_atom_site_fract_z
Pt1 0.0000 0.5000 0.5000
Tl1 0.7970 0.0000 0.7506
Tl2 0.2030 0.0000 0.2494
W1 0.5000 0.5000 0.0000
```

***

Record 5
VASP calculation (SCAN) on a crystal of ZrCr2Se relaxed with PBEsol.

Properties
The total moment is 1.77 μB per cell. The total energy is -88.541 eV/f.u. Its crystal system is tetragonal. The space-group type is P4mm, No. 99.

```
data_ZrCr2Se
_cell_length_a 3.1475
_cell_length_b 3.1475
_cell_length_c 6.2455
_cell_angle_alpha 90.00
_cell_angle_beta 90.00
_cell_angle_gamma 90.00
_space_group_name_H-M_alt 'P 1'
_space_group_IT_number 1
_space_group_name_Hall 'P 1'
loop_
_atom_site_label
_atom_site_fract_x
_atom_site_fract_y
_atom_site_fract_z
Cr1 0.0000 0.0000 0.0542
Cr2 0.5000 0.5000 0.2252
Se1 0.0000 0.0000 0.4747
Zr1 0.5000 0.5000 0.7459
```

***

Record 6
VASP calculation (SCAN) on a crystal of Zn2In relaxed with PBEsol.

Properties
The total moment is 0.00 μB per cell. The total energy is -60.035 eV/f.u. The energy of formation from the pure elements comes out at 0.13 eV per atom. Its crystal system is monoclinic. The space-group type is Cm, No. 8.

```
data_Zn2In
_cell_length_a 3.0476
_cell_length_b 5.2844
_cell_length_c 7.0869
_cell_angle_alpha 92.52
_cell_angle_beta 90.00
_cell_angle_gamma 106.76
_space_group_name_H-M_alt 'P 1'
_space_group_IT_number 1
_space_group_name_Hall 'P 1'
loop_
_atom_site_label
_atom_site_fract_x
_atom_site_fract_y
_atom_site_fract_z
Zn1 0.3266 0.6532 0.6709
Zn2 0.4442 0.8884 0.3615
Zn3 0.0573 0.1147 0.6215
Zn4 0.6795 0.3589 0.8816
In1 0.9511 0.9022 0.0092
In2 0.7080 0.4160 0.2887
```

***

Record 7
VASP calculation (SCAN) on a crystal of Cr2SiBr relaxed with PBEsol.

Properties
The total moment is 6.93 μB per cell. The total energy is -66.551 eV/f.u. Its energy above the lowest structure with this stoichiometry is 0 meV per atom. Its crystal system is trigonal. The space-group type is R-3m, No. 166.

```
data_Cr2SiBr
_cell_length_a 3.5976
_cell_length_b 3.5976
_cell_length_c 6.5837
_cell_angle_alpha 74.14
_cell_angle_beta 74.14
_cell_angle_gamma 60.00
_space_group_name_H-M_alt 'P 1'
_space_group_IT_number 1
_space_group_name_Hall 'P 1'
loop_
_atom_site_label
_atom_site_fract_x
_atom_site_fract_y
_atom_site_fract_z
Br1 0.0000 0.0000 0.0000
Cr1 0.2315 0.2315 0.3055
Cr2 0.7685 0.7685 0.6945
Si1 0.5000 0.5000 0.5000
```

***

Record 8
VASP calculation (SCAN) on a crystal of KPbCl2 relaxed with PBEsol.

Properties
The total moment is 0.00 μB per cell. The total energy is -105.624 eV/f.u. Its energy above the lowest structure with this stoichiometry is 28 meV per atom. Its crystal system is tetragonal. The space-group type is P-4m2, No. 115.

```
data_KPbCl2
_cell_length_a 3.6067
_cell_length_b 5.6850
_cell_length_c 5.6850
_cell_angle_alpha 90.00
_cell_angle_beta 90.06
_cell_angle_gamma 90.00
_space_group_name_H-M_alt 'P 1'
_space_group_IT_number 1
_space_group_name_Hall 'P 1'
loop_
_atom_site_label
_atom_site_fract_x
_atom_site_fract_y
_atom_site_fract_z
Pb1 0.0002 0.5000 0.8751
K1 0.4997 0.0000 0.3747
Cl1 0.0019 0.0000 0.8753
Cl2 0.9982 0.5000 0.3751
```

***

Record 9
VASP calculation (SCAN) on a crystal of Zn3IrPt relaxed with PBEsol.

Properties
The total moment is 0.00 μB per cell. The total energy is -178.252 eV/f.u. The energy of formation from the pure elements comes out at 0.72 eV per atom. Its crystal system is cubic. The space-group type is Pm-3m, No. 221.

```
data_Zn3IrPt
_cell_length_a 4.6055
_cell_length_b 4.6055
_cell_length_c 4.6055
_cell_angle_alpha 90.00
_cell_angle_beta 90.00
_cell_angle_gamma 90.00
_space_group_name_H-M_alt 'P 1'
_space_group_IT_number 1
_space_group_name_Hall 'P 1'
loop_
_atom_site_label
_atom_site_fract_x
_atom_site_fract_y
_atom_site_fract_z
Zn1 0.0000 0.5000 0.0000
Zn2 0.0000 0.0000 0.5000
Zn3 0.5000 0.0000 0.0000
Ir1 0.0000 0.0000 0.0000
Pt1 0.5000 0.5000 0.5000
```

***

Record 10
VASP calculation (SCAN) on a crystal of Sc2SbP relaxed with PBEsol.

Properties
The total moment is 0.00 μB per cell. The total energy is -79.733 eV/f.u. Its crystal system is tetragonal. The space-group type is P4/mmm, No. 123.

```
data_Sc2SbP
_cell_length_a 3.2689
_cell_length_b 3.2689
_cell_length_c 7.3493
_cell_angle_alpha 90.00
_cell_angle_beta 90.00
_cell_angle_gamma 90.00
_space_group_name_H-M_alt 'P 1'
_space_group_IT_number 1
_space_group_name_Hall 'P 1'
loop_
_atom_site_label
_atom_site_fract_x
_atom_site_fract_y
_atom_site_fract_z
P1 0.5000 0.5000 0.0000
Sb1 0.5000 0.5000 0.5000
Sc1 0.0000 0.0000 0.7955
Sc2 0.0000 0.0000 0.2045
```

***

Record 11
VASP calculation (SCAN) on a crystal of KTlSb relaxed with PBEsol.

Properties
The total moment is 0.00 μB per cell. The total energy is -118.816 eV/f.u. Its energy above the lowest structure with this stoichiometry is 0 meV per atom. Its crystal system is orthorhombic. The space-group type is Imm2, No. 44.

```
data_KTlSb
_cell_length_a 3.4983
_cell_length_b 4.3352
_cell_length_c 6.8208
_cell_angle_alpha 108.53
_cell_angle_beta 104.86
_cell_angle_gamma 90.00
_space_group_name_H-M_alt 'P 1'
_space_group_IT_number 1
_space_group_name_Hall 'P 1'
loop_
_atom_site_label
_atom_site_fract_x
_atom_site_fract_y
_atom_site_fract_z
Sb1 0.6858 0.6858 0.3715
Tl1 0.3133 0.3133 0.6266
K1 0.0009 0.0009 0.0019
```

***

Record 12
VASP calculation (SCAN) on a crystal of La3Y relaxed with PBEsol.

Properties
The total moment is 0.00 μB per cell. The total energy is -157.103 eV/f.u. The energy of formation from the pure elements comes out at 0.01 eV per atom. Its crystal system is monoclinic. The space-group type is C2/m, No. 12.

```
data_La3Y
_cell_length_a 3.6234
_cell_length_b 6.2127
_cell_length_c 6.2300
_cell_angle_alpha 99.81
_cell_angle_beta 106.91
_cell_angle_gamma 90.00
_space_group_name_H-M_alt 'P 1'
_space_group_IT_number 1
_space_group_name_Hall 'P 1'
loop_
_atom_site_label
_atom_site_fract_x
_atom_site_fract_y
_atom_site_fract_z
Y1 0.5000 0.0000 0.0000
La1 0.2499 0.2488 0.4998
La2 0.7501 0.7512 0.5002
La3 0.0000 0.5000 0.0000
```

***

- Look up the total moment of the fifth one.
  1.77 μB per cell